[1]
# CeDyMgHg PBE optimized geometry
# ΔH_f (0 K) in meV per atom: -160.0
# E_tot in eV for the cell shown: -52.3
data_CeDyMgHg
_cell_length_a 7.5825
_cell_length_b 7.5825
_cell_length_c 7.5825
_cell_angle_alpha 90.00
_cell_angle_beta 90.00
_cell_angle_gamma 90.00
_symmetry_space_group_name_H-M 'F -4 3 m'
_symmetry_Int_Tables_number 216
_symmetry_space_group_name_Hall 'F -4 2 3'
loop_
_atom_site_label
_atom_site_fract_x
_atom_site_fract_y
_atom_site_fract_z
_atom_site_occupancy
Ce1 0.0000 0.0000 0.0000 1
Dy1 0.0000 0.0000 0.5000 1
Mg1 0.2500 0.2500 0.7500 1
Hg1 0.2500 0.2500 0.2500 1

***

[2]
# Na6CdHg2 PBE optimized geometry
# ΔH_f (0 K) in meV per atom: -131.6
# Energy above the lowest structure with this stoichiometry in eV per atom: 0.000
# E_tot in eV for the cell shown: -31.9
data_Na6CdHg2
_cell_length_a 5.4268
_cell_length_b 5.4268
_cell_length_c 31.4445
_cell_angle_alpha 90.00
_cell_angle_beta 90.00
_cell_angle_gamma 120.00
_symmetry_space_group_name_H-M 'R -3 m'
_symmetry_Int_Tables_number 166
_symmetry_space_group_name_Hall '-R 3 2"'
loop_
_atom_site_label
_atom_site_fract_x
_atom_site_fract_y
_atom_site_fract_z
_atom_site_occupancy
Na1 0.0000 0.0000 0.0794 1
Na2 0.0000 0.0000 0.1995 1
Na3 0.0000 0.0000 0.3084 1
Cd1 0.0000 0.0000 0.5000 1
Hg1 0.0000 0.0000 0.4075 1

***

[3]
# BIrOs2 PBE optimized geometry
# ΔH_f (0 K) in meV per atom: 197.9
# E_tot in eV for the cell shown: -111.6
data_BIrOs2
_cell_length_a 2.7962
_cell_length_b 2.7962
_cell_length_c 22.2927
_cell_angle_alpha 90.00
_cell_angle_beta 90.00
_cell_angle_gamma 120.00
_symmetry_space_group_name_H-M 'R 3 m'
_symmetry_Int_Tables_number 160
_symmetry_space_group_name_Hall 'R 3 -2"'
loop_
_atom_site_label
_atom_site_fract_x
_atom_site_fract_y
_atom_site_fract_z
_atom_site_occupancy
B1 0.0000 0.0000 0.0000 1
Ir1 0.0000 0.0000 0.8359 1
Os1 0.0000 0.0000 0.4009 1
Os2 0.0000 0.0000 0.6012 1

***

[4]
# CaLa3Ru PBE optimized geometry
# ΔH_f (0 K) in meV per atom: -154.0
# Energy above the lowest structure with this stoichiometry in eV per atom: 0.017
# E_tot in eV for the cell shown: -107.3
data_CaLa3Ru
_cell_length_a 22.8455
_cell_length_b 5.6498
_cell_length_c 5.7314
_cell_angle_alpha 90.00
_cell_angle_beta 104.45
_cell_angle_gamma 90.00
_symmetry_space_group_name_H-M 'C 1 2/m 1'
_symmetry_Int_Tables_number 12
loop_
_symmetry_equiv_pos_as_xyz
'x,y,z'
'-x,-y,-z'
'-x,y,-z'
'x,-y,z'
'x+1/2,y+1/2,z'
'-x+1/2,-y+1/2,-z'
'-x+1/2,y+1/2,-z'
'x+1/2,-y+1/2,z'
loop_
_atom_site_label
_atom_site_fract_x
_atom_site_fract_y
_atom_site_fract_z
_atom_site_occupancy
Ca1 0.1901 0.0000 0.4400 1
La1 0.0645 0.5000 0.3157 1
La2 0.0669 0.0000 0.8176 1
La3 0.1917 0.5000 0.9416 1
Ru1 0.0738 0.5000 0.8249 1

***

[5]
# Sr5SiH2N4 PBE optimized geometry
# E_tot in eV for the cell shown: -123.3
data_Sr5SiH2N4
_cell_length_a 7.3889
_cell_length_b 9.6314
_cell_length_c 6.0468
_cell_angle_alpha 90.00
_cell_angle_beta 90.00
_cell_angle_gamma 90.00
_symmetry_space_group_name_H-M 'A m m 2'
_symmetry_Int_Tables_number 38
loop_
_symmetry_equiv_pos_as_xyz
'x,y,z'
'-x,-y,z'
'-x,y,z'
'x,-y,z'
'x,y+1/2,z+1/2'
'-x,-y+1/2,z+1/2'
'-x,y+1/2,z+1/2'
'x,-y+1/2,z+1/2'
loop_
_atom_site_label
_atom_site_fract_x
_atom_site_fract_y
_atom_site_fract_z
_atom_site_occupancy
Sr1 0.0000 0.0000 0.0000 1
Sr2 0.2846 0.1840 0.4842 1
Si1 0.5000 0.0000 0.0009 1
H1 0.0000 0.2128 0.7455 1
N1 0.2999 0.0000 0.1800 1
N2 0.5000 0.1484 0.8198 1

***

[6]
# ErThSc2As4 PBE optimized geometry
# ΔH_f (0 K) in meV per atom: -1412.4
# E_tot in eV for the cell shown: -54.5
data_ErThSc2As4
_cell_length_a 6.9531
_cell_length_b 4.0508
_cell_length_c 6.9960
_cell_angle_alpha 90.00
_cell_angle_beta 109.60
_cell_angle_gamma 90.00
_symmetry_space_group_name_H-M 'P 1 2/m 1'
_symmetry_Int_Tables_number 10
loop_
_symmetry_equiv_pos_as_xyz
'x,y,z'
'-x,-y,-z'
'-x,y,-z'
'x,-y,z'
loop_
_atom_site_label
_atom_site_fract_x
_atom_site_fract_y
_atom_site_fract_z
_atom_site_occupancy
Er1 0.0000 0.0000 0.0000 1
Th1 0.0000 0.5000 0.5000 1
Sc1 0.5000 0.0000 0.5000 1
Sc2 0.5000 0.5000 0.0000 1
As1 0.2657 0.5000 0.2505 1
As2 0.2704 0.0000 0.7622 1

***

Number 1: V 435.9 Å³/cell. Number 2: V 802.0 Å³/cell. Number 3: V 151.0 Å³/cell. Number 4: V 716.4 Å³/cell. Number 5: V 430.3 Å³/cell. Number 6: V 185.6 Å³/cell.